No. 1
{
  "formula": "SmGd2AlC",
  "functional": "PBE-GGA",
  "state": "optimized geometry",
  "lattice_angstrom": [[-1.985, 3.216, -3.188], [-3.981, -2.898, -0.444], [-2.186, 2.420, 3.803]],
  "species": ["Gd", "Gd", "C", "Al", "Sm"],
  "frac_coords": [[0.500, 0.000, 0.500], [0.000, 0.500, 0.500], [0.500, 0.500, 0.500], [0.000, 0.000, 0.000], [0.500, 0.500, 0.000]],
  "vol_a3_per_atom": 24.497,
  "final_energy_ev_per_atom": -5.706
}

***

No. 2
{
  "formula": "GaCoSbAu",
  "functional": "PBE-GGA",
  "state": "optimized geometry",
  "lattice_angstrom": [[-3.590, -2.908, 0.099], [-3.248, 0.449, 3.256], [-4.220, 1.499, -1.138]],
  "species": ["Au", "Sb", "Co", "Ga"],
  "frac_coords": [[0.750, 0.750, 0.750], [0.500, 0.500, 0.500], [0.250, 0.250, 0.250], [0.000, 0.000, 0.000]],
  "e_above_lowest_polymorph_ev_per_atom": 0.000,
  "vol_a3_per_atom": 17.441,
  "final_energy_ev_per_atom": -4.109
}